DFT (PBE) results for a geometry-optimized SbTe2AuF structure.

Results
E above lowest polymorph: 0.169 eV per atom
Total magnetic moment: 0.00 μB/f.u.
DFT total energy: -2.7711 eV/atom
Energy relative to the elements, uncorrected: 0.3398 eV/atom

Cell lengths 5.4107, 5.4107, 5.4431 Å; angles 90.00, 90.00, 90.00 degrees
Last column: nearest neighbours and their distance in Å.
Space group P4/mmm (No. 123)
One atom of each set of equivalent atoms:
Sb1 0.0000 0.0000 0.0000 x1  2 Au 2.72
Te1 0.0000 0.5000 0.5000 x2  2 Au 2.71
Au1 0.0000 0.0000 0.5000 x1  4 Te 2.71, 2 Sb 2.72
F1 0.5000 0.5000 0.0000 x1  4 Sb 3.83, 8 Te 3.84